Record 1
## MgIn3Pd (PBEsol)

Data for a relaxed structure of MgIn3Pd.

Structure (CIF):
```
data_MgIn3Pd
_chemical_formula_sum 'Mg1 In3 Pd1'
_cell_length_a 5.128
_cell_length_b 5.128
_cell_length_c 5.128
_cell_angle_alpha 90.00
_cell_angle_beta 90.00
_cell_angle_gamma 90.00
_space_group_name_H-M_alt 'P m -3 m'
_space_group_IT_number 221
_space_group_name_Hall '-P 4 2 3'
loop_
_atom_site_label
_atom_site_type_symbol
_atom_site_fract_x
_atom_site_fract_y
_atom_site_fract_z
Mg1 Mg 0.000 0.000 0.000
In1 In 0.000 0.500 0.500
Pd1 Pd 0.500 0.500 0.500
```

Its crystal system is cubic. For the uncorrected energy, the calculation gives -3.345 eV/atom. Its formation energy is -0.020 eV per atom.

=====

Record 2
## HfZr3Re (PBEsol)

Data for a relaxed structure of HfZr3Re.

Structure (CIF):
```
data_HfZr3Re
_chemical_formula_sum 'Hf1 Zr3 Re1'
_cell_length_a 4.983
_cell_length_b 4.983
_cell_length_c 4.983
_cell_angle_alpha 90.00
_cell_angle_beta 90.00
_cell_angle_gamma 90.00
_space_group_name_H-M_alt 'P m -3 m'
_space_group_IT_number 221
_space_group_name_Hall '-P 4 2 3'
loop_
_atom_site_label
_atom_site_type_symbol
_atom_site_fract_x
_atom_site_fract_y
_atom_site_fract_z
Hf1 Hf 0.000 0.000 0.000
Zr1 Zr 0.000 0.500 0.500
Re1 Re 0.500 0.500 0.500
```

Its crystal system is cubic. For the uncorrected energy, the calculation gives -9.543 eV/atom. Its formation energy is 0.678 eV per atom.

=====

Record 3
## LaHf2Cr (PBEsol)

Data for a relaxed structure of LaHf2Cr.

Structure (CIF):
```
data_LaHf2Cr
_chemical_formula_sum 'La4 Hf8 Cr4'
_cell_length_a 6.891
_cell_length_b 6.891
_cell_length_c 6.891
_cell_angle_alpha 90.00
_cell_angle_beta 90.00
_cell_angle_gamma 90.00
_space_group_name_H-M_alt 'F m -3 m'
_space_group_IT_number 225
_space_group_name_Hall '-F 4 2 3'
loop_
_atom_site_label
_atom_site_type_symbol
_atom_site_fract_x
_atom_site_fract_y
_atom_site_fract_z
La1 La 0.000 0.000 0.000
Hf1 Hf 0.250 0.250 0.250
Cr1 Cr 0.000 0.000 0.500
```

Its crystal system is cubic. For the uncorrected energy, the calculation gives -8.626 eV/atom. Its formation energy is 0.523 eV per atom.

=====

Record 4
## ReRuBr (PBEsol)

Data for a relaxed structure of ReRuBr.

Structure (CIF):
```
data_ReRuBr
_chemical_formula_sum 'Re2 Ru2 Br2'
_cell_length_a 2.928
_cell_length_b 2.928
_cell_length_c 11.135
_cell_angle_alpha 90.00
_cell_angle_beta 90.00
_cell_angle_gamma 90.00
_space_group_name_H-M_alt 'I 4 m m'
_space_group_IT_number 107
_space_group_name_Hall 'I 4 -2'
loop_
_atom_site_label
_atom_site_type_symbol
_atom_site_fract_x
_atom_site_fract_y
_atom_site_fract_z
Re1 Re 0.000 0.000 0.000
Ru1 Ru 0.000 0.000 0.635
Br1 Br 0.000 0.000 0.327
```

For the energy relative to the elements, uncorrected, the calculation gives 627 meV per atom. Its crystal system is tetragonal. For the uncorrected energy, the calculation gives -7.831 eV/atom.

=====

Record 5
## CaMn2P (PBEsol)

Data for a relaxed structure of CaMn2P.

Structure (CIF):
```
data_CaMn2P
_chemical_formula_sum 'Ca2 Mn4 P2'
_cell_length_a 3.111
_cell_length_b 3.524
_cell_length_c 12.694
_cell_angle_alpha 90.00
_cell_angle_beta 90.00
_cell_angle_gamma 90.00
_space_group_name_H-M_alt 'I m m 2'
_space_group_IT_number 44
loop_
_space_group_symop_operation_xyz
'x,y,z'
'-x,-y,z'
'-x,y,z'
'x,-y,z'
'x+1/2,y+1/2,z+1/2'
'-x+1/2,-y+1/2,z+1/2'
'-x+1/2,y+1/2,z+1/2'
'x+1/2,-y+1/2,z+1/2'
loop_
_atom_site_label
_atom_site_type_symbol
_atom_site_fract_x
_atom_site_fract_y
_atom_site_fract_z
Ca1 Ca 0.000 0.000 0.000
Mn1 Mn 0.000 0.000 0.657
Mn2 Mn 0.000 0.500 0.803
P1 P 0.000 0.500 0.286
```

Its crystal system is orthorhombic. For the uncorrected energy, the calculation gives -6.750 eV/atom. Its formation energy is 0.111 eV per atom.

=====

Record 6
## CsGa3Ru (PBEsol)

Data for a relaxed structure of CsGa3Ru.

Structure (CIF):
```
data_CsGa3Ru
_chemical_formula_sum 'Cs1 Ga3 Ru1'
_cell_length_a 4.878
_cell_length_b 4.878
_cell_length_c 4.878
_cell_angle_alpha 90.00
_cell_angle_beta 90.00
_cell_angle_gamma 90.00
_space_group_name_H-M_alt 'P m -3 m'
_space_group_IT_number 221
_space_group_name_Hall '-P 4 2 3'
loop_
_atom_site_label
_atom_site_type_symbol
_atom_site_fract_x
_atom_site_fract_y
_atom_site_fract_z
Cs1 Cs 0.000 0.000 0.000
Ga1 Ga 0.000 0.500 0.500
Ru1 Ru 0.500 0.500 0.500
```

Its crystal system is cubic. For the uncorrected energy, the calculation gives -4.444 eV/atom. Its formation energy is -0.217 eV per atom.

=====

Record 7
## PtSeNO2 (PBEsol)

Data for a relaxed structure of PtSeNO2.

Structure (CIF):
```
data_PtSeNO2
_chemical_formula_sum 'Pt1 Se1 N1 O2'
_cell_length_a 3.626
_cell_length_b 3.626
_cell_length_c 4.279
_cell_angle_alpha 90.00
_cell_angle_beta 90.00
_cell_angle_gamma 90.00
_space_group_name_H-M_alt 'P 4/m m m'
_space_group_IT_number 123
_space_group_name_Hall '-P 4 2'
loop_
_atom_site_label
_atom_site_type_symbol
_atom_site_fract_x
_atom_site_fract_y
_atom_site_fract_z
Pt1 Pt 0.000 0.000 0.000
Se1 Se 0.500 0.500 0.500
N1 N 0.500 0.500 0.000
O1 O 0.000 0.500 0.500
```

For the energy relative to the elements, uncorrected, the calculation gives 1015 meV per atom. Its crystal system is tetragonal. For the uncorrected energy, the calculation gives -4.953 eV/atom.

=====

Record 8
## ScCd2Se (PBEsol)

Data for a relaxed structure of ScCd2Se.

Structure (CIF):
```
data_ScCd2Se
_chemical_formula_sum 'Sc2 Cd4 Se2'
_cell_length_a 3.819
_cell_length_b 3.948
_cell_length_c 11.051
_cell_angle_alpha 90.00
_cell_angle_beta 90.00
_cell_angle_gamma 90.00
_space_group_name_H-M_alt 'I m m m'
_space_group_IT_number 71
_space_group_name_Hall '-I 2 2'
loop_
_atom_site_label
_atom_site_type_symbol
_atom_site_fract_x
_atom_site_fract_y
_atom_site_fract_z
Sc1 Sc 0.000 0.000 0.000
Cd1 Cd 0.000 0.500 0.245
Se1 Se 0.000 0.000 0.500
```

For the energy relative to the elements, uncorrected, the calculation gives -576 meV per atom. Its crystal system is orthorhombic. For the uncorrected energy, the calculation gives -3.789 eV/atom.

=====

Record 9
## SrCdHg2 (PBEsol)

Data for a relaxed structure of SrCdHg2.

Structure (CIF):
```
data_SrCdHg2
_chemical_formula_sum 'Sr1 Cd1 Hg2'
_cell_length_a 4.792
_cell_length_b 4.792
_cell_length_c 4.551
_cell_angle_alpha 90.00
_cell_angle_beta 90.00
_cell_angle_gamma 90.00
_space_group_name_H-M_alt 'P 4/m m m'
_space_group_IT_number 123
_space_group_name_Hall '-P 4 2'
loop_
_atom_site_label
_atom_site_type_symbol
_atom_site_fract_x
_atom_site_fract_y
_atom_site_fract_z
Sr1 Sr 0.000 0.000 0.000
Cd1 Cd 0.500 0.500 0.000
Hg1 Hg 0.000 0.500 0.500
```

Its crystal system is tetragonal. For the uncorrected energy, the calculation gives -1.387 eV/atom. Its formation energy is -0.344 eV per atom.

=====

Record 10
## TaReAs2 (PBEsol)

Data for a relaxed structure of TaReAs2.

Structure (CIF):
```
data_TaReAs2
_chemical_formula_sum 'Ta2 Re2 As4'
_cell_length_a 4.085
_cell_length_b 4.085
_cell_length_c 7.599
_cell_angle_alpha 90.00
_cell_angle_beta 90.00
_cell_angle_gamma 90.00
_space_group_name_H-M_alt 'I -4 m 2'
_space_group_IT_number 119
_space_group_name_Hall 'I -4 -2'
loop_
_atom_site_label
_atom_site_type_symbol
_atom_site_fract_x
_atom_site_fract_y
_atom_site_fract_z
Ta1 Ta 0.000 0.000 0.000
Re1 Re 0.000 0.500 0.750
As1 As 0.000 0.000 0.500
As2 As 0.000 0.500 0.250
```

Its crystal system is tetragonal. For the uncorrected energy, the calculation gives -8.842 eV/atom. The value obtained for the energy above the most stable polymorph in this dataset is 337.7 meV/atom. Its formation energy is 0.182 eV per atom.

=====

Record 11
## LiNiRu3 (PBEsol)

Data for a relaxed structure of LiNiRu3.

Structure (CIF):
```
data_LiNiRu3
_chemical_formula_sum 'Li1 Ni1 Ru3'
_cell_length_a 3.958
_cell_length_b 3.958
_cell_length_c 3.958
_cell_angle_alpha 90.00
_cell_angle_beta 90.00
_cell_angle_gamma 90.00
_space_group_name_H-M_alt 'P m -3 m'
_space_group_IT_number 221
_space_group_name_Hall '-P 4 2 3'
loop_
_atom_site_label
_atom_site_type_symbol
_atom_site_fract_x
_atom_site_fract_y
_atom_site_fract_z
Li1 Li 0.000 0.000 0.000
Ni1 Ni 0.500 0.500 0.500
Ru1 Ru 0.000 0.000 0.500
```

Its crystal system is cubic. For the uncorrected energy, the calculation gives -6.453 eV/atom. Its formation energy is 1.275 eV per atom.

=====

Record 12
## La3Sb5O12 (PBEsol)

Data for a relaxed structure of La3Sb5O12.

Structure (CIF):
```
data_La3Sb5O12
_chemical_formula_sum 'La12 Sb20 O48'
_cell_length_a 11.081
_cell_length_b 11.081
_cell_length_c 11.081
_cell_angle_alpha 90.00
_cell_angle_beta 90.00
_cell_angle_gamma 90.00
_space_group_name_H-M_alt 'I -4 3 m'
_space_group_IT_number 217
_space_group_name_Hall 'I -4 2 3'
loop_
_atom_site_label
_atom_site_type_symbol
_atom_site_fract_x
_atom_site_fract_y
_atom_site_fract_z
La1 La 0.000 0.250 0.500
Sb1 Sb 0.000 0.000 0.277
Sb2 Sb 0.247 0.247 0.247
O1 O 0.099 0.099 0.387
O2 O 0.136 0.136 0.668
```

For the energy relative to the elements, uncorrected, the calculation gives -2223 meV per atom. Its crystal system is cubic. For the uncorrected energy, the calculation gives -7.314 eV/atom.